No. 1
Computed, not measured: a PBEsol-optimized structure of Ba2MgCuBi2F14 at the SCAN level of DFT.

CIF file:
```
data_Ba2MgCuBi2F14
_chemical_formula_sum 'Ba8 Mg4 Cu4 Bi8 F56'
_symmetry_space_group_name_H-M 'C 1 2/c 1'
_symmetry_Int_Tables_number 15
_symmetry_space_group_name_Hall '-C 2yc'
_cell_length_a 14.3130
_cell_length_b 5.1859
_cell_length_c 16.1428
_cell_angle_alpha 90.00
_cell_angle_beta 90.77
_cell_angle_gamma 90.00
loop_
_atom_site_label
_atom_site_type_symbol
_atom_site_fract_x
_atom_site_fract_y
_atom_site_fract_z
Ba1 Ba 0.1823 0.0968 0.3707
Mg1 Mg 0.0000 0.4402 0.7500
Cu1 Cu 0.0000 0.5000 0.0000
Bi1 Bi 0.1070 0.0493 0.1211
F1 F 0.0199 0.1620 0.8279
F2 F 0.0252 0.3686 0.3915
F3 F 0.0723 0.1942 0.9837
F4 F 0.1039 0.3273 0.2365
F5 F 0.1460 0.3013 0.5481
F6 F 0.1763 0.1786 0.7203
F7 F 0.2426 0.3722 0.8985
```

## Properties
M_tot: 4.00 μB/cell
Formation energy (no corrections): -3022 meV/atom
E_tot: -18.32 eV/atom

No. 2
Computed, not measured: a PBEsol-optimized structure of BaBiF7 at the SCAN level of DFT.

CIF file:
```
data_BaBiF7
_chemical_formula_sum 'Ba4 Bi4 F28'
_symmetry_space_group_name_H-M 'P 1 21/c 1'
_symmetry_Int_Tables_number 14
_symmetry_space_group_name_Hall '-P 2ybc'
_cell_length_a 5.5725
_cell_length_b 9.7180
_cell_length_c 10.2627
_cell_angle_alpha 90.00
_cell_angle_beta 90.43
_cell_angle_gamma 90.00
loop_
_atom_site_label
_atom_site_type_symbol
_atom_site_fract_x
_atom_site_fract_y
_atom_site_fract_z
Ba1 Ba 0.2475 0.2011 0.0026
Bi1 Bi 0.2634 0.6091 0.2220
F1 F 0.0547 0.2220 0.2578
F2 F 0.0549 0.5198 0.3723
F3 F 0.1273 0.0492 0.6153
F4 F 0.2298 0.7343 0.0553
F5 F 0.4241 0.0771 0.3796
F6 F 0.4307 0.7259 0.8073
F7 F 0.4907 0.5084 0.3588
```

## Properties
M_tot: 0.00 μB/cell
Formation energy (no corrections): -2650 meV/atom
E_tot: -18.53 eV/atom

No. 3
Computed, not measured: a PBEsol-optimized structure of BaZnBiF7 at the SCAN level of DFT.

CIF file:
```
data_BaZnBiF7
_chemical_formula_sum 'Ba4 Zn4 Bi4 F28'
_symmetry_space_group_name_H-M 'P 1 21/c 1'
_symmetry_Int_Tables_number 14
_symmetry_space_group_name_Hall '-P 2ybc'
_cell_length_a 5.6352
_cell_length_b 10.8907
_cell_length_c 9.5798
_cell_angle_alpha 90.00
_cell_angle_beta 93.85
_cell_angle_gamma 90.00
loop_
_atom_site_label
_atom_site_type_symbol
_atom_site_fract_x
_atom_site_fract_y
_atom_site_fract_z
Ba1 Ba 0.2480 0.1554 0.4709
Zn1 Zn 0.2861 0.6498 0.7125
Bi1 Bi 0.2285 0.5756 0.3673
F1 F 0.0130 0.7419 0.2747
F2 F 0.1037 0.5131 0.1530
F3 F 0.1477 0.0038 0.1107
F4 F 0.1796 0.7305 0.5284
F5 F 0.4080 0.5513 0.8677
F6 F 0.4237 0.1132 0.9136
F7 F 0.4999 0.2041 0.2230
```

## Properties
M_tot: 0.00 μB/cell
Formation energy (no corrections): -2962 meV/atom
E_tot: -18.60 eV/atom

No. 4
Computed, not measured: a PBEsol-optimized structure of BaTiFe3Bi3O12 at the SCAN level of DFT.

CIF file:
```
data_BaTiFe3Bi3O12
_chemical_formula_sum 'Ba3 Ti3 Fe9 Bi9 O36'
_symmetry_space_group_name_H-M 'R 3'
_symmetry_Int_Tables_number 146
_symmetry_space_group_name_Hall 'R 3'
_cell_length_a 5.4753
_cell_length_b 5.4753
_cell_length_c 26.8986
_cell_angle_alpha 90.00
_cell_angle_beta 90.00
_cell_angle_gamma 120.00
loop_
_atom_site_label
_atom_site_type_symbol
_atom_site_fract_x
_atom_site_fract_y
_atom_site_fract_z
Ba1 Ba 0.0000 0.0000 0.0000
Ti1 Ti 0.0000 0.0000 0.3808
Fe1 Fe 0.0000 0.0000 0.1232
Fe2 Fe 0.0000 0.0000 0.6234
Fe3 Fe 0.0000 0.0000 0.8758
Bi1 Bi 0.0000 0.0000 0.2642
Bi2 Bi 0.0000 0.0000 0.5115
Bi3 Bi 0.0000 0.0000 0.7648
O1 O 0.0023 0.4507 0.7501
O2 O 0.0033 0.5568 0.4940
O3 O 0.0106 0.5224 0.9944
O4 O 0.0189 0.4694 0.2465
```

## Properties
M_tot: 15.29 μB/cell
Formation energy (no corrections): -1770 meV/atom
E_tot: -22.79 eV/atom

No. 5
Computed, not measured: a PBEsol-optimized structure of BaGa2Bi2 at the SCAN level of DFT.

CIF file:
```
data_BaGa2Bi2
_chemical_formula_sum 'Ba2 Ga4 Bi4'
_symmetry_space_group_name_H-M 'I 4/m m m'
_symmetry_Int_Tables_number 139
_symmetry_space_group_name_Hall '-I 4 2'
_cell_length_a 5.0741
_cell_length_b 5.0741
_cell_length_c 12.1358
_cell_angle_alpha 90.00
_cell_angle_beta 90.00
_cell_angle_gamma 90.00
loop_
_atom_site_label
_atom_site_type_symbol
_atom_site_fract_x
_atom_site_fract_y
_atom_site_fract_z
Ba1 Ba 0.0000 0.0000 0.0000
Ga1 Ga 0.0000 0.5000 0.2500
Bi1 Bi 0.0000 0.0000 0.3670
```

## Properties
M_tot: 0.00 μB/cell
E_tot: -46.26 eV/atom
Formation energy from the elements: -0.378 eV per atom

No. 6
Computed, not measured: a PBEsol-optimized structure of BaGaBi3 at the SCAN level of DFT.

CIF file:
```
data_BaGaBi3
_chemical_formula_sum 'Ba1 Ga1 Bi3'
_symmetry_space_group_name_H-M 'P m -3 m'
_symmetry_Int_Tables_number 221
_symmetry_space_group_name_Hall '-P 4 2 3'
_cell_length_a 5.5375
_cell_length_b 5.5375
_cell_length_c 5.5375
_cell_angle_alpha 90.00
_cell_angle_beta 90.00
_cell_angle_gamma 90.00
loop_
_atom_site_label
_atom_site_type_symbol
_atom_site_fract_x
_atom_site_fract_y
_atom_site_fract_z
Ba1 Ba 0.0000 0.0000 0.0000
Ga1 Ga 0.5000 0.5000 0.5000
Bi1 Bi 0.0000 0.5000 0.5000
```

## Properties
M_tot: 0.00 μB/cell
E_tot: -58.47 eV/atom
Formation energy from the elements: -0.147 eV per atom